# CrTcOF2, relaxed, DFT GGA+U
# mass density = 5.2 Mg/m³
# calculated total energy = -6.31 eV per atom
# N(E_F) = 0.475 states/eV per atom
data_CrTcOF2
_chemical_formula_sum 'Cr1 Tc1 O1 F2'
_cell_length_a 4.053
_cell_length_b 4.053
_cell_length_c 3.989
_cell_angle_alpha 90.00
_cell_angle_beta 90.00
_cell_angle_gamma 90.00
_symmetry_space_group_name_H-M 'P 4/m m m'
_symmetry_Int_Tables_number 123
_symmetry_space_group_name_Hall '-P 4 2'
loop_
_atom_site_label
_atom_site_type_symbol
_atom_site_fract_x
_atom_site_fract_y
_atom_site_fract_z
Cr1 Cr 0.000 0.000 0.000
Tc1 Tc 0.500 0.500 0.500
O1 O 0.000 0.000 0.500
F1 F 0.000 0.500 0.000